No. 1
80
Lattice="-6.118 6.118 6.118 6.118 -6.118 6.118 6.118 6.118 -6.118" Properties=species:S:1:pos:R:3 comment="SCAN Ca3Si3Mo2O12, single point on PBEsol structure" magnetic_moment_mub_per_cell=24.00 e_tot_ev_per_atom=-13.097 raw_formation_energy_kj_per_mol_atoms=-281.52 pbc="T T T"
Ca 3.059 1.529 0.000
Ca 6.118 3.059 -1.529
Ca 1.529 0.000 3.059
Ca 7.647 0.000 3.059
Ca 0.000 3.059 1.529
Ca 3.059 -1.529 6.118
Ca 3.059 7.647 0.000
Ca 6.118 3.059 4.588
Ca -1.529 6.118 3.059
Ca 4.588 6.118 3.059
Ca 0.000 3.059 7.647
Ca 3.059 4.588 6.118
Si 9.177 1.529 0.000
Si 6.118 -3.059 4.588
Si 4.588 6.118 -3.059
Si 4.588 0.000 3.059
Si 3.059 4.588 0.000
Si 6.118 3.059 1.529
Si 0.000 3.059 4.588
Si 3.059 1.529 6.118
Si 1.529 6.118 3.059
Si 1.529 0.000 9.177
Si 0.000 9.177 1.529
Si -3.059 4.588 6.118
Mo 0.000 0.000 0.000
Mo 3.059 3.059 -3.059
Mo 3.059 -3.059 3.059
Mo 6.118 0.000 0.000
Mo -3.059 3.059 3.059
Mo 0.000 6.118 0.000
Mo 0.000 0.000 6.118
Mo 3.059 3.059 3.059
O 1.938 -0.493 0.630
O 7.238 3.689 -3.552
O 8.056 0.493 0.630
O 7.238 -2.429 3.552
O 5.625 -0.630 1.938
O 9.669 -1.121 2.429
O 0.630 1.938 -0.493
O 8.547 2.566 -1.121
O 3.689 3.552 -1.121
O 5.488 1.938 0.493
O -0.493 0.630 1.938
O 3.552 -1.121 3.689
O 5.625 5.488 -1.938
O 3.552 1.121 2.429
O 3.689 -3.552 7.238
O 5.488 -1.938 5.625
O 2.429 3.552 1.121
O 6.748 4.180 0.493
O 3.552 7.238 -2.429
O 5.625 0.630 4.180
O 1.938 5.625 -0.630
O 7.238 2.429 2.566
O 1.121 2.429 3.552
O 1.938 0.493 5.488
O 4.180 5.625 0.630
O 4.997 3.689 2.566
O -1.121 3.689 3.552
O 4.180 0.493 6.748
O 0.493 5.488 1.938
O 2.566 -1.121 8.547
O -0.630 1.938 5.625
O 3.689 2.566 4.997
O 0.630 8.056 0.493
O 2.429 9.669 -1.121
O 2.566 4.997 3.689
O 0.493 0.630 8.056
O 2.566 7.238 2.429
O 6.611 5.488 4.180
O 0.630 4.180 5.625
O 2.429 2.566 7.238
O -2.429 3.552 7.238
O 5.488 4.180 6.611
O -3.552 7.238 3.689
O 0.493 6.748 4.180
O -1.121 8.547 2.566
O -1.938 5.625 5.488
O -1.121 2.429 9.669
O 4.180 6.611 5.488

No. 2
20
Lattice="5.439 0.000 0.000 0.000 7.745 0.000 -0.008 0.000 5.653" Properties=species:S:1:pos:R:3 comment="SCAN Ca2TaMoO6, single point on PBEsol structure" magnetic_moment_mub_per_cell=4.69 e_tot_ev_per_atom=-18.721 raw_formation_energy_kj_per_mol_atoms=-280.09 pbc="T T T"
Ca 0.055 1.936 2.556
Ca 2.641 1.936 5.305
Ca 2.791 5.809 0.347
Ca 5.377 5.809 3.096
Ta 0.000 0.000 0.000
Ta 0.000 3.873 0.000
Mo 2.716 0.000 2.826
Mo 2.716 3.873 2.826
O 0.484 5.809 5.495
O 1.049 0.354 4.009
O 1.049 3.519 4.009
O 1.608 0.334 1.116
O 1.608 3.538 1.116
O 2.330 5.809 2.733
O 3.102 1.936 2.920
O 3.824 4.207 4.537
O 3.824 7.411 4.537
O 4.383 4.227 1.643
O 4.383 7.391 1.643
O 4.948 1.936 0.158

No. 3
44
Lattice="8.177 0.000 0.000 0.000 6.639 0.000 -8.093 0.000 11.432" Properties=species:S:1:pos:R:3 comment="SCAN CaUMo4O16, single point on PBEsol structure" magnetic_moment_mub_per_cell=0.00 e_tot_ev_per_atom=-18.512 raw_formation_energy_kj_per_mol_atoms=-240.45 pbc="T T T"
Ca -2.023 1.336 2.858
Ca -6.070 5.303 8.574
U 2.065 1.336 2.858
U -1.982 5.303 8.574
Mo -5.688 2.193 10.334
Mo -1.642 4.446 4.618
Mo -2.359 2.202 6.778
Mo 1.687 4.437 1.062
Mo -1.604 2.202 10.370
Mo 2.443 4.437 4.654
Mo 1.725 2.193 6.814
Mo 5.772 4.446 1.098
O -6.070 2.877 8.574
O -2.023 3.762 2.858
O -4.071 2.294 6.830
O -0.024 4.345 1.114
O -5.976 0.537 10.011
O -1.929 6.102 4.295
O -2.015 2.332 5.004
O -6.062 4.307 10.720
O 0.244 1.329 2.886
O -3.803 5.310 8.602
O 2.028 2.316 0.769
O -2.018 4.322 6.485
O -2.054 0.517 7.193
O 1.993 6.122 1.477
O -3.975 2.308 10.323
O 0.072 4.331 4.607
O -1.982 2.930 8.574
O 2.065 3.709 2.858
O 0.011 2.308 6.825
O 4.058 4.331 1.109
O -1.909 0.517 9.956
O 2.137 6.122 4.240
O 2.102 2.316 4.948
O -1.945 4.322 10.664
O 3.886 1.329 2.830
O -0.160 5.310 8.546
O 6.145 2.332 0.712
O 2.099 4.307 6.428
O 2.013 0.537 7.137
O 6.059 6.102 1.421
O 0.108 2.294 10.318
O 4.154 4.345 4.602

Copy entry 1 word for word.
80
Lattice="-6.118 6.118 6.118 6.118 -6.118 6.118 6.118 6.118 -6.118" Properties=species:S:1:pos:R:3 comment="SCAN Ca3Si3Mo2O12, single point on PBEsol structure" magnetic_moment_mub_per_cell=24.00 e_tot_ev_per_atom=-13.097 raw_formation_energy_kj_per_mol_atoms=-281.52 pbc="T T T"
Ca 3.059 1.529 0.000
Ca 6.118 3.059 -1.529
Ca 1.529 0.000 3.059
Ca 7.647 0.000 3.059
Ca 0.000 3.059 1.529
Ca 3.059 -1.529 6.118
Ca 3.059 7.647 0.000
Ca 6.118 3.059 4.588
Ca -1.529 6.118 3.059
Ca 4.588 6.118 3.059
Ca 0.000 3.059 7.647
Ca 3.059 4.588 6.118
Si 9.177 1.529 0.000
Si 6.118 -3.059 4.588
Si 4.588 6.118 -3.059
Si 4.588 0.000 3.059
Si 3.059 4.588 0.000
Si 6.118 3.059 1.529
Si 0.000 3.059 4.588
Si 3.059 1.529 6.118
Si 1.529 6.118 3.059
Si 1.529 0.000 9.177
Si 0.000 9.177 1.529
Si -3.059 4.588 6.118
Mo 0.000 0.000 0.000
Mo 3.059 3.059 -3.059
Mo 3.059 -3.059 3.059
Mo 6.118 0.000 0.000
Mo -3.059 3.059 3.059
Mo 0.000 6.118 0.000
Mo 0.000 0.000 6.118
Mo 3.059 3.059 3.059
O 1.938 -0.493 0.630
O 7.238 3.689 -3.552
O 8.056 0.493 0.630
O 7.238 -2.429 3.552
O 5.625 -0.630 1.938
O 9.669 -1.121 2.429
O 0.630 1.938 -0.493
O 8.547 2.566 -1.121
O 3.689 3.552 -1.121
O 5.488 1.938 0.493
O -0.493 0.630 1.938
O 3.552 -1.121 3.689
O 5.625 5.488 -1.938
O 3.552 1.121 2.429
O 3.689 -3.552 7.238
O 5.488 -1.938 5.625
O 2.429 3.552 1.121
O 6.748 4.180 0.493
O 3.552 7.238 -2.429
O 5.625 0.630 4.180
O 1.938 5.625 -0.630
O 7.238 2.429 2.566
O 1.121 2.429 3.552
O 1.938 0.493 5.488
O 4.180 5.625 0.630
O 4.997 3.689 2.566
O -1.121 3.689 3.552
O 4.180 0.493 6.748
O 0.493 5.488 1.938
O 2.566 -1.121 8.547
O -0.630 1.938 5.625
O 3.689 2.566 4.997
O 0.630 8.056 0.493
O 2.429 9.669 -1.121
O 2.566 4.997 3.689
O 0.493 0.630 8.056
O 2.566 7.238 2.429
O 6.611 5.488 4.180
O 0.630 4.180 5.625
O 2.429 2.566 7.238
O -2.429 3.552 7.238
O 5.488 4.180 6.611
O -3.552 7.238 3.689
O 0.493 6.748 4.180
O -1.121 8.547 2.566
O -1.938 5.625 5.488
O -1.121 2.429 9.669
O 4.180 6.611 5.488